[1]
# SiSbPd, optimized geometry, DFT PBE-GGA
data_SiSbPd
_symmetry_space_group_name_H-M 'P 1'
_symmetry_Int_Tables_number 1
_cell_length_a 6.2064
_cell_length_b 6.2064
_cell_length_c 6.2064
_cell_angle_alpha 90.00
_cell_angle_beta 90.00
_cell_angle_gamma 90.00
loop_
_symmetry_equiv_pos_as_xyz
'x,y,z'
loop_
_atom_site_label
_atom_site_type_symbol
_atom_site_fract_x
_atom_site_fract_y
_atom_site_fract_z
Si1 Si 0.1176 0.1176 0.1176
Si2 Si 0.3824 0.8824 0.6176
Si3 Si 0.6176 0.3824 0.8824
Si4 Si 0.8824 0.6176 0.3824
Sb1 Sb 0.1291 0.3709 0.6291
Sb2 Sb 0.3709 0.6291 0.1291
Sb3 Sb 0.6291 0.1291 0.3709
Sb4 Sb 0.8709 0.8709 0.8709
Pd1 Pd 0.0264 0.9736 0.4736
Pd2 Pd 0.4736 0.0264 0.9736
Pd3 Pd 0.5264 0.5264 0.5264
Pd4 Pd 0.9736 0.4736 0.0264
# **Energy above the most stable polymorph in this dataset**: 0.000 eV/atom
# **Symmetry**: P2_13, No. 198


[2]
# Si3Sb2Pd2, optimized geometry, DFT PBE-GGA
data_Si3Sb2Pd2
_symmetry_space_group_name_H-M 'P 1'
_symmetry_Int_Tables_number 1
_cell_length_a 8.4646
_cell_length_b 8.4646
_cell_length_c 8.4646
_cell_angle_alpha 30.02
_cell_angle_beta 30.02
_cell_angle_gamma 30.02
loop_
_symmetry_equiv_pos_as_xyz
'x,y,z'
loop_
_atom_site_label
_atom_site_type_symbol
_atom_site_fract_x
_atom_site_fract_y
_atom_site_fract_z
Si1 Si 0.0000 0.0000 0.0000
Si2 Si 0.2624 0.2624 0.2624
Si3 Si 0.5428 0.5428 0.5428
Sb1 Sb 0.1444 0.1444 0.1444
Sb2 Sb 0.7133 0.7133 0.7133
Pd1 Pd 0.4365 0.4365 0.4365
Pd2 Pd 0.9046 0.9046 0.9046
# **Energy**: -4.946 eV per atom
# **Symmetry**: R3m, No. 160


[3]
# SiSbPd, optimized geometry, DFT PBE-GGA
data_SiSbPd
_symmetry_space_group_name_H-M 'P 1'
_symmetry_Int_Tables_number 1
_cell_length_a 4.4317
_cell_length_b 4.4317
_cell_length_c 4.4317
_cell_angle_alpha 60.00
_cell_angle_beta 60.00
_cell_angle_gamma 60.00
loop_
_symmetry_equiv_pos_as_xyz
'x,y,z'
loop_
_atom_site_label
_atom_site_type_symbol
_atom_site_fract_x
_atom_site_fract_y
_atom_site_fract_z
Si1 Si 0.0000 0.0000 0.0000
Sb1 Sb 0.5000 0.5000 0.5000
Pd1 Pd 0.7500 0.7500 0.7500
# **Energy above the most stable polymorph in this dataset**: 0.073 eV/atom
# **Symmetry**: F-43m, No. 216


[4]
# Sm2Sb3Pd9, optimized geometry, DFT PBE-GGA
data_Sm2Sb3Pd9
_symmetry_space_group_name_H-M 'P 1'
_symmetry_Int_Tables_number 1
_cell_length_a 7.9966
_cell_length_b 7.9966
_cell_length_c 9.3540
_cell_angle_alpha 90.00
_cell_angle_beta 90.00
_cell_angle_gamma 60.40
loop_
_symmetry_equiv_pos_as_xyz
'x,y,z'
loop_
_atom_site_label
_atom_site_type_symbol
_atom_site_fract_x
_atom_site_fract_y
_atom_site_fract_z
Sm1 Sm 0.0166 0.6750 0.7500
Sm2 Sm 0.3250 0.9834 0.7500
Sm3 Sm 0.6750 0.0166 0.2500
Sm4 Sm 0.9834 0.3250 0.2500
Sb1 Sb 0.0000 0.0000 0.0000
Sb2 Sb 0.0000 0.0000 0.5000
Sb3 Sb 0.3226 0.3226 0.0000
Sb4 Sb 0.3226 0.3226 0.5000
Sb5 Sb 0.6774 0.6774 0.0000
Sb6 Sb 0.6774 0.6774 0.5000
Pd1 Pd 0.0009 0.3423 0.5880
Pd2 Pd 0.0009 0.3423 0.9120
Pd3 Pd 0.1442 0.8558 0.2500
Pd4 Pd 0.3312 0.6688 0.5379
Pd5 Pd 0.3312 0.6688 0.9621
Pd6 Pd 0.3423 0.0009 0.0880
Pd7 Pd 0.3423 0.0009 0.4120
Pd8 Pd 0.3593 0.4429 0.2500
Pd9 Pd 0.4429 0.3593 0.7500
Pd10 Pd 0.5571 0.6407 0.2500
Pd11 Pd 0.6407 0.5571 0.7500
Pd12 Pd 0.6577 0.9991 0.5880
Pd13 Pd 0.6577 0.9991 0.9120
Pd14 Pd 0.6688 0.3312 0.0379
Pd15 Pd 0.6688 0.3312 0.4621
Pd16 Pd 0.8558 0.1442 0.7500
Pd17 Pd 0.9991 0.6577 0.0880
Pd18 Pd 0.9991 0.6577 0.4120
# **Energy**: -5.608 eV per atom
# **Symmetry**: Cmcm, No. 63


[5]
# SmSb2Pd, optimized geometry, DFT PBE-GGA
data_SmSb2Pd
_symmetry_space_group_name_H-M 'P 1'
_symmetry_Int_Tables_number 1
_cell_length_a 4.4682
_cell_length_b 4.4682
_cell_length_c 9.7368
_cell_angle_alpha 90.00
_cell_angle_beta 90.00
_cell_angle_gamma 90.00
loop_
_symmetry_equiv_pos_as_xyz
'x,y,z'
loop_
_atom_site_label
_atom_site_type_symbol
_atom_site_fract_x
_atom_site_fract_y
_atom_site_fract_z
Sm1 Sm 0.2500 0.2500 0.2459
Sm2 Sm 0.7500 0.7500 0.7541
Sb1 Sb 0.2500 0.2500 0.8400
Sb2 Sb 0.2500 0.7500 0.5000
Sb3 Sb 0.7500 0.2500 0.5000
Sb4 Sb 0.7500 0.7500 0.1600
Pd1 Pd 0.2500 0.7500 0.0000
Pd2 Pd 0.7500 0.2500 0.0000
# **Energy**: -5.371 eV per atom
# **Symmetry**: P4/nmm, No. 129


[6]
# SmSb3Pd6, optimized geometry, DFT PBE-GGA
data_SmSb3Pd6
_symmetry_space_group_name_H-M 'P 1'
_symmetry_Int_Tables_number 1
_cell_length_a 7.2581
_cell_length_b 7.2581
_cell_length_c 7.2581
_cell_angle_alpha 118.75
_cell_angle_beta 118.75
_cell_angle_gamma 92.19
loop_
_symmetry_equiv_pos_as_xyz
'x,y,z'
loop_
_atom_site_label
_atom_site_type_symbol
_atom_site_fract_x
_atom_site_fract_y
_atom_site_fract_z
Sm1 Sm 0.0000 0.0000 0.0000
Sb1 Sb 0.2500 0.7500 0.5000
Sb2 Sb 0.5000 0.5000 0.0000
Sb3 Sb 0.7500 0.2500 0.5000
Pd1 Pd 0.0000 0.3326 0.3326
Pd2 Pd 0.0000 0.6674 0.6674
Pd3 Pd 0.2574 0.2574 0.0000
Pd4 Pd 0.3326 0.0000 0.3326
Pd5 Pd 0.6674 0.0000 0.6674
Pd6 Pd 0.7426 0.7426 0.0000
# **Energy**: -4.292 eV per atom
# **Symmetry**: I4/mmm, No. 139


[7]
# SmSnSbPd2, optimized geometry, DFT PBE-GGA
data_SmSnSbPd2
_symmetry_space_group_name_H-M 'P 1'
_symmetry_Int_Tables_number 1
_cell_length_a 4.4485
_cell_length_b 4.4485
_cell_length_c 11.1404
_cell_angle_alpha 90.00
_cell_angle_beta 90.00
_cell_angle_gamma 90.00
loop_
_symmetry_equiv_pos_as_xyz
'x,y,z'
loop_
_atom_site_label
_atom_site_type_symbol
_atom_site_fract_x
_atom_site_fract_y
_atom_site_fract_z
Sm1 Sm 0.2500 0.2500 0.2363
Sm2 Sm 0.7500 0.7500 0.7637
Sn1 Sn 0.2500 0.7500 0.5000
Sn2 Sn 0.7500 0.2500 0.5000
Sb1 Sb 0.2500 0.2500 0.8668
Sb2 Sb 0.7500 0.7500 0.1332
Pd1 Pd 0.2500 0.2500 0.6371
Pd2 Pd 0.2500 0.7500 0.0000
Pd3 Pd 0.7500 0.2500 0.0000
Pd4 Pd 0.7500 0.7500 0.3629
# **Energy**: -5.453 eV per atom
# **Symmetry**: P4/nmm, No. 129


[8]
# SnSbPd2, optimized geometry, DFT PBE-GGA
data_SnSbPd2
_symmetry_space_group_name_H-M 'P 1'
_symmetry_Int_Tables_number 1
_cell_length_a 4.0060
_cell_length_b 4.0060
_cell_length_c 11.9011
_cell_angle_alpha 90.00
_cell_angle_beta 90.00
_cell_angle_gamma 120.00
loop_
_symmetry_equiv_pos_as_xyz
'x,y,z'
loop_
_atom_site_label
_atom_site_type_symbol
_atom_site_fract_x
_atom_site_fract_y
_atom_site_fract_z
Sn1 Sn 0.0000 0.0000 0.0000
Sn2 Sn 0.0000 0.0000 0.5000
Sb1 Sb 0.3333 0.6667 0.2500
Sb2 Sb 0.6667 0.3333 0.7500
Pd1 Pd 0.3333 0.6667 0.6266
Pd2 Pd 0.3333 0.6667 0.8734
Pd3 Pd 0.6667 0.3333 0.1266
Pd4 Pd 0.6667 0.3333 0.3734
# **Energy above the most stable polymorph in this dataset**: 0.140 eV/atom
# **Symmetry**: P6_3/mmc, No. 194


[9]
# Sn2Sb2Pd3, optimized geometry, DFT PBE-GGA
data_Sn2Sb2Pd3
_symmetry_space_group_name_H-M 'P 1'
_symmetry_Int_Tables_number 1
_cell_length_a 8.2107
_cell_length_b 8.2107
_cell_length_c 8.2107
_cell_angle_alpha 33.36
_cell_angle_beta 33.36
_cell_angle_gamma 33.36
loop_
_symmetry_equiv_pos_as_xyz
'x,y,z'
loop_
_atom_site_label
_atom_site_type_symbol
_atom_site_fract_x
_atom_site_fract_y
_atom_site_fract_z
Sn1 Sn 0.0000 0.0000 0.0000
Sn2 Sn 0.4922 0.4922 0.4922
Sb1 Sb 0.2413 0.2413 0.2413
Sb2 Sb 0.7484 0.7484 0.7484
Pd1 Pd 0.3696 0.3696 0.3696
Pd2 Pd 0.6206 0.6206 0.6206
Pd3 Pd 0.8720 0.8720 0.8720
# **Energy**: -4.824 eV per atom
# **Symmetry**: R3m, No. 160


[10]
# Sn3Sb2Pd2, optimized geometry, DFT PBE-GGA
data_Sn3Sb2Pd2
_symmetry_space_group_name_H-M 'P 1'
_symmetry_Int_Tables_number 1
_cell_length_a 8.7660
_cell_length_b 8.7660
_cell_length_c 8.7660
_cell_angle_alpha 32.65
_cell_angle_beta 32.65
_cell_angle_gamma 32.65
loop_
_symmetry_equiv_pos_as_xyz
'x,y,z'
loop_
_atom_site_label
_atom_site_type_symbol
_atom_site_fract_x
_atom_site_fract_y
_atom_site_fract_z
Sn1 Sn 0.0000 0.0000 0.0000
Sn2 Sn 0.2409 0.2409 0.2409
Sn3 Sn 0.4943 0.4943 0.4943
Sb1 Sb 0.1156 0.1156 0.1156
Sb2 Sb 0.6386 0.6386 0.6386
Pd1 Pd 0.3706 0.3706 0.3706
Pd2 Pd 0.8732 0.8732 0.8732
# **Energy**: -4.310 eV per atom
# **Symmetry**: R3m, No. 160


[11]
# SnSbPd2, optimized geometry, DFT PBE-GGA
data_SnSbPd2
_symmetry_space_group_name_H-M 'P 1'
_symmetry_Int_Tables_number 1
_cell_length_a 4.0964
_cell_length_b 6.7500
_cell_length_c 5.8878
_cell_angle_alpha 90.00
_cell_angle_beta 90.00
_cell_angle_gamma 90.00
loop_
_symmetry_equiv_pos_as_xyz
'x,y,z'
loop_
_atom_site_label
_atom_site_type_symbol
_atom_site_fract_x
_atom_site_fract_y
_atom_site_fract_z
Sn1 Sn 0.0000 0.1572 0.0000
Sn2 Sn 0.0000 0.8428 0.5000
Sb1 Sb 0.5000 0.3386 0.5873
Sb2 Sb 0.5000 0.6614 0.0873
Pd1 Pd 0.0000 0.4606 0.3034
Pd2 Pd 0.0000 0.5394 0.8034
Pd3 Pd 0.5000 0.0395 0.2854
Pd4 Pd 0.5000 0.9605 0.7854
# **Energy above the most stable polymorph in this dataset**: 0.000 eV/atom
# **Symmetry**: Pmc2_1, No. 26


[12]
# SrSnSbPd2, optimized geometry, DFT PBE-GGA
data_SrSnSbPd2
_symmetry_space_group_name_H-M 'P 1'
_symmetry_Int_Tables_number 1
_cell_length_a 4.6418
_cell_length_b 4.6418
_cell_length_c 10.9066
_cell_angle_alpha 90.00
_cell_angle_beta 90.00
_cell_angle_gamma 90.00
loop_
_symmetry_equiv_pos_as_xyz
'x,y,z'
loop_
_atom_site_label
_atom_site_type_symbol
_atom_site_fract_x
_atom_site_fract_y
_atom_site_fract_z
Sr1 Sr 0.2500 0.2500 0.2409
Sr2 Sr 0.7500 0.7500 0.7591
Sn1 Sn 0.2500 0.7500 0.5000
Sn2 Sn 0.7500 0.2500 0.5000
Sb1 Sb 0.2500 0.2500 0.8731
Sb2 Sb 0.7500 0.7500 0.1269
Pd1 Pd 0.2500 0.2500 0.6312
Pd2 Pd 0.2500 0.7500 0.0000
Pd3 Pd 0.7500 0.2500 0.0000
Pd4 Pd 0.7500 0.7500 0.3688
# **Energy above the most stable polymorph in this dataset**: 0.000 eV/atom
# **Symmetry**: P4/nmm, No. 129